## SbMo2P (SCAN)

Data for a PBEsol-optimized structure of SbMo2P.

Space group: I-42d (122)
ΔE_f (raw), eV per atom: 0.480
Energy above the lowest structure with this stoichiometry, eV/atom: 0.4919

Cell: 4.095 4.095 9.158 Å, 102.92 102.92 90.00°
Atoms (fractional coordinates):
Sb1 0.250 0.750 0.500
Sb2 0.000 0.000 0.000
Mo1 0.447 0.875 0.250
Mo2 0.803 0.375 0.250
Mo3 0.125 0.197 0.750
Mo4 0.625 0.553 0.750
P1 0.750 0.250 0.500
P2 0.500 0.500 0.000

## In2SbAu (SCAN)

Data for a PBEsol-optimized structure of In2SbAu.

Space group: Amm2 (38)
ΔE_f (raw), eV per atom: -0.146
Energy above the lowest structure with this stoichiometry, eV/atom: 0.0000

Cell: 4.306 5.029 5.029 Å, 111.17 90.00 90.00°
Atoms (fractional coordinates):
Sb1 0.000 0.453 0.547
Au1 0.500 0.251 0.749
In1 0.000 0.043 0.957
In2 0.500 0.737 0.263

## AsIr2Au (SCAN)

Data for a PBEsol-optimized structure of AsIr2Au.

Space group: P2/m (10)
Formation energy, eV per atom: 0.3101

Cell: 2.913 4.114 5.307 Å, 90.00 105.00 90.00°
Atoms (fractional coordinates):
As1 0.500 0.500 0.000
Ir1 0.637 0.000 0.769
Ir2 0.363 0.000 0.231
Au1 0.000 0.500 0.500

## CaAs2Se (SCAN)

Data for a PBEsol-optimized structure of CaAs2Se.

Space group: Immm (71)
ΔE_f (raw), eV per atom: -0.575

Cell: 3.893 4.042 6.017 Å, 109.63 108.87 90.00°
Atoms (fractional coordinates):
As1 0.741 0.741 0.482
As2 0.259 0.259 0.518
Ca1 0.500 0.000 0.000
Se1 0.000 0.500 0.000

Number 1: DOS(E_F) 4.6 states/eV/cell, total energy -28.88 eV per atom. Number 2: DOS(E_F) 1.6 states/eV/cell, total energy -43.44 eV per atom. Number 3: DOS(E_F) 2.6 states/eV/cell, total energy -57.58 eV per atom. Number 4: DOS(E_F) 2.0 states/eV/cell, total energy -18.11 eV per atom.